1.
The following is a PBE calculation of a geometry-optimized KSrRuCl6 structure, from the Alexandria database.

Lattice parameters (Å, degrees): 7.019 7.019 13.116 90.00 90.00 120.00
Positions (direct):
Cl1 0.338 0.393 0.857
Cl2 0.662 0.055 0.357
Cl3 0.055 0.662 0.857
Cl4 0.607 0.662 0.643
Cl5 0.945 0.607 0.357
Cl6 0.607 0.945 0.857
Cl7 0.055 0.393 0.643
Cl8 0.393 0.338 0.357
Cl9 0.338 0.945 0.643
Cl10 0.662 0.607 0.143
Cl11 0.393 0.055 0.143
Cl12 0.945 0.338 0.143
Sr1 0.333 0.667 0.250
Sr2 0.667 0.333 0.750
K1 0.000 0.000 0.500
K2 0.000 0.000 0.000
Ru1 0.667 0.333 0.250
Ru2 0.333 0.667 0.750

Calculated values
Symmetry: P-31c (163)
Crystal system: trigonal
Total moment in μB/atom: 0.1115
E_tot in eV per atom: -4.029
Calculated volume in Å³/f.u.: 280
N(E_F) in states/eV per cell: 20.19
Formation energy from raw total energies in eV per atom: -1.46

2.
The following is a PBE calculation of a geometry-optimized KSrRuCl2 structure, from the Alexandria database.

Lattice parameters (Å, degrees): 5.495 12.222 5.495 90.00 90.00 90.00
Positions (direct):
K1 0.000 0.500 0.000
Sr1 0.000 0.000 0.000
Cl1 0.500 0.000 0.000
Cl2 0.000 0.000 0.500
Ru1 0.500 0.500 0.500

Calculated values
Symmetry: P4/mmm (123)
Crystal system: tetragonal
Total moment in μB/atom: 0.6000
E_tot in eV per atom: -3.326
Calculated volume in Å³/f.u.: 369
N(E_F) in states/eV per cell: 18.46
Formation energy from raw total energies in eV per atom: -0.18

3.
The following is a PBE calculation of a geometry-optimized K2SrRuCl8 structure, from the Alexandria database.

Lattice parameters (Å, degrees): 6.603 6.962 8.541 89.98 90.01 91.83
Positions (direct):
Cl1 0.699 0.820 0.000
Cl2 0.337 0.253 0.500
Cl3 0.130 0.799 0.800
Cl4 0.871 0.201 0.800
Cl5 0.663 0.747 0.500
Cl6 0.870 0.201 0.200
Cl7 0.301 0.180 0.000
Cl8 0.129 0.799 0.200
K1 0.500 0.500 0.760
K2 0.500 0.500 0.240
Ru1 0.000 0.000 0.000
Sr1 0.000 0.000 0.500

Calculated values
Symmetry: P2/m (10)
Crystal system: monoclinic
Total moment in μB/atom: 0.1667
E_tot in eV per atom: -3.759
Calculated volume in Å³/f.u.: 392
N(E_F) in states/eV per cell: 4.58
Formation energy from raw total energies in eV per atom: -1.43

4.
The following is a PBE calculation of a geometry-optimized KTc2RuCl structure, from the Alexandria database.

Lattice parameters (Å, degrees): 5.364 4.788 5.364 90.00 90.00 90.00
Positions (direct):
K1 0.000 0.000 0.000
Tc1 0.000 0.000 0.500
Tc2 0.500 0.000 0.000
Ru1 0.000 0.500 0.000
Cl1 0.500 0.500 0.500

Calculated values
Symmetry: P4/mmm (123)
Crystal system: tetragonal
Total moment in μB/atom: 1.9755
E_tot in eV per atom: -3.518
Calculated volume in Å³/f.u.: 138
N(E_F) in states/eV per cell: 5.23
Formation energy from raw total energies in eV per atom: 3.07

5.
The following is a PBE calculation of a geometry-optimized K2TlRuCl8 structure, from the Alexandria database.

Lattice parameters (Å, degrees): 7.032 6.417 8.066 89.95 90.04 92.42
Positions (direct):
Tl1 0.000 0.000 0.500
Cl1 0.296 0.184 0.000
Cl2 0.682 0.784 0.500
Cl3 0.890 0.218 0.214
Cl4 0.110 0.782 0.215
Cl5 0.318 0.216 0.500
Cl6 0.890 0.218 0.785
Cl7 0.110 0.782 0.786
Cl8 0.704 0.816 0.000
K1 0.500 0.500 0.763
K2 0.500 0.500 0.237
Ru1 0.000 0.000 0.000

Calculated values
Symmetry: P-1 (2)
Crystal system: triclinic
Total moment in μB/atom: 0.0825
E_tot in eV per atom: -3.415
Calculated volume in Å³/f.u.: 364
N(E_F) in states/eV per cell: 6.57
Formation energy from raw total energies in eV per atom: -1.03

6.
The following is a PBE calculation of a geometry-optimized K2TlRuCl6 structure, from the Alexandria database.

Lattice parameters (Å, degrees): 7.719 7.717 7.334 58.15 58.17 59.95
Positions (direct):
Ru1 0.316 0.316 0.052
K1 0.547 0.546 0.360
K2 0.085 0.086 0.742
Cl1 0.511 0.196 0.286
Cl2 0.122 0.436 0.817
Cl3 0.437 0.625 0.815
Cl4 0.008 0.511 0.286
Cl5 0.195 0.007 0.288
Cl6 0.625 0.121 0.817
Tl1 0.816 0.816 0.552

Calculated values
Symmetry: P-1 (2)
Crystal system: triclinic
Total moment in μB/atom: 0.1005
E_tot in eV per atom: -3.672
Calculated volume in Å³/f.u.: 300
N(E_F) in states/eV per cell: 9.65
Formation energy from raw total energies in eV per atom: -1.18

7.
The following is a PBE calculation of a geometry-optimized KS6Cl2 structure, from the Alexandria database.

Lattice parameters (Å, degrees): 14.892 4.444 4.920 115.19 81.17 112.35
Positions (direct):
S1 0.578 0.449 0.179
S2 0.689 0.872 0.131
S3 0.718 0.741 0.452
S4 0.282 0.259 0.548
S5 0.311 0.128 0.869
S6 0.422 0.551 0.821
K1 0.000 0.000 0.000
Cl1 0.116 0.819 0.365
Cl2 0.884 0.181 0.635

Calculated values
Symmetry: P-1 (2)
Crystal system: triclinic
Total moment in μB/atom: 0.0000
E_tot in eV per atom: -3.460
Calculated volume in Å³/f.u.: 272
N(E_F) in states/eV per cell: 3.03
Formation energy from raw total energies in eV per atom: -0.18

8.
The following is a PBE calculation of a geometry-optimized KSCl4 structure, from the Alexandria database.

Lattice parameters (Å, degrees): 6.581 6.581 6.581 109.81 109.81 108.80
Positions (direct):
Cl1 0.286 0.714 0.000
Cl2 0.286 0.286 0.573
Cl3 0.714 0.286 0.000
Cl4 0.714 0.714 0.427
S1 0.500 0.500 0.000
K1 0.750 0.250 0.500

Calculated values
Excess energy over the best structure of this formula in the dataset in meV/atom: 0
Symmetry: I-4m2 (119)
Crystal system: tetragonal
Total moment in μB/atom: 0.1646
E_tot in eV per atom: -2.770
Calculated volume in Å³/f.u.: 219
Formation energy from raw total energies in eV per atom: -0.67

9.
The following is a PBE calculation of a geometry-optimized KSCl6 structure, from the Alexandria database.

Lattice parameters (Å, degrees): 7.120 10.030 6.639 40.94 63.07 53.16
Positions (direct):
Cl1 0.556 0.699 0.000
Cl2 0.444 0.301 0.000
Cl3 0.217 0.828 0.631
Cl4 0.783 0.541 0.631
Cl5 0.783 0.172 0.369
Cl6 0.217 0.459 0.369
K1 0.000 0.000 0.000
S1 0.500 0.500 0.000

Calculated values
Symmetry: C2/m (12)
Crystal system: monoclinic
Total moment in μB/atom: 0.0000
E_tot in eV per atom: -2.517
Calculated volume in Å³/f.u.: 249
N(E_F) in states/eV per cell: 1.50
Formation energy from raw total energies in eV per atom: -0.48

10.
The following is a PBE calculation of a geometry-optimized KSCl4 structure, from the Alexandria database.

Lattice parameters (Å, degrees): 5.827 9.400 9.669 90.00 90.00 120.31
Positions (direct):
Cl1 0.704 0.795 0.250
Cl2 0.723 0.858 0.750
Cl3 0.040 0.636 0.076
Cl4 0.960 0.364 0.576
Cl5 0.960 0.364 0.924
Cl6 0.296 0.205 0.750
Cl7 0.040 0.636 0.424
Cl8 0.277 0.142 0.250
S1 0.085 0.855 0.250
S2 0.915 0.145 0.750
K1 0.926 0.323 0.250
K2 0.074 0.677 0.750

Calculated values
Excess energy over the best structure of this formula in the dataset in meV/atom: 73
Symmetry: P2_1/m (11)
Crystal system: monoclinic
Total moment in μB/atom: 0.0000
E_tot in eV per atom: -2.697
Calculated volume in Å³/f.u.: 229
N(E_F) in states/eV per cell: 1.19
Formation energy from raw total energies in eV per atom: -0.59

11.
The following is a PBE calculation of a geometry-optimized K2SCl2 structure, from the Alexandria database.

Lattice parameters (Å, degrees): 7.983 7.983 4.359 90.00 90.00 90.00
Positions (direct):
Cl1 0.839 0.661 0.000
Cl2 0.161 0.339 0.000
Cl3 0.661 0.161 0.000
Cl4 0.339 0.839 0.000
S1 0.000 0.000 0.000
S2 0.500 0.500 0.000
K1 0.657 0.843 0.500
K2 0.343 0.157 0.500
K3 0.843 0.343 0.500
K4 0.157 0.657 0.500

Calculated values
Excess energy over the best structure of this formula in the dataset in meV/atom: 197
Symmetry: P4/mbm (127)
Crystal system: tetragonal
Total moment in μB/atom: 0.0000
E_tot in eV per atom: -2.985
Calculated volume in Å³/f.u.: 139
N(E_F) in states/eV per cell: 2.20
Formation energy from raw total energies in eV per atom: -0.98

12.
The following is a PBE calculation of a geometry-optimized KS2Cl2 structure, from the Alexandria database.

Lattice parameters (Å, degrees): 8.292 8.292 4.294 90.00 90.00 90.00
Positions (direct):
S1 0.421 0.921 0.000
S2 0.579 0.079 0.000
S3 0.921 0.579 0.000
S4 0.079 0.421 0.000
Cl1 0.742 0.242 0.500
Cl2 0.258 0.758 0.500
Cl3 0.758 0.742 0.500
Cl4 0.242 0.258 0.500
K1 0.500 0.500 0.000
K2 0.000 0.000 0.000

Calculated values
Excess energy over the best structure of this formula in the dataset in meV/atom: 0
Symmetry: P4/mbm (127)
Crystal system: tetragonal
Total moment in μB/atom: 0.2000
E_tot in eV per atom: -3.159
Calculated volume in Å³/f.u.: 148
N(E_F) in states/eV per cell: 0.00
Formation energy from raw total energies in eV per atom: -0.55